A plane-wave DFT calculation with PBE was carried out for a relaxed HfZrZn4 crystal.

The formation energy is -1.5 eV/f.u. For the energy above the most stable polymorph in this dataset, the calculation gives 8 meV/atom. Its space group is No. 216. The total magnetization is 1.777 Bohr magnetons per cell. The density of states at the Fermi level is 3.4 states/eV/cell.

Structure (extended XYZ):
```
6
Lattice="-0.620 3.202 -4.073 2.540 -0.932 -4.462 -2.627 -1.613 -4.210" Properties=species:S:1:pos:R:3 pbc="T T T"
Zn -0.132 -1.190 -5.929
Zn -1.711 0.876 -5.735
Zn -0.442 0.410 -7.965
Zn 0.871 1.217 -5.861
Zr 0.000 0.000 0.000
Hf -0.177 0.164 -3.186
```